The following is a GGA-PBE calculation of an optimized crystal structure of MoW2Se, from Alexandria.

```
data_MoW2Se
_cell_length_a 2.973
_cell_length_b 4.224
_cell_length_c 5.163
_cell_angle_alpha 90.00
_cell_angle_beta 90.00
_cell_angle_gamma 90.00
_symmetry_space_group_name_H-M 'P m m 2'
_symmetry_Int_Tables_number 25
loop_
_symmetry_equiv_pos_as_xyz
'x,y,z'
'-x,-y,z'
'-x,y,z'
'x,-y,z'
loop_
_atom_site_label
_atom_site_type_symbol
_atom_site_fract_x
_atom_site_fract_y
_atom_site_fract_z
_atom_site_occupancy
Mo1 Mo 0.000 0.000 0.000 1
W1 W 0.000 0.000 0.508 1
W2 W 0.500 0.500 0.741 1
Se1 Se 0.500 0.500 0.240 1
```

Theoretical density, Mg/m³: 13.9
Formation energy (no corrections), eV per atom: 0.4356


The following is a GGA-PBE calculation of an optimized crystal structure of LiSn2Pt2, from Alexandria.

```
data_LiSn2Pt2
_cell_length_a 4.444
_cell_length_b 4.562
_cell_length_c 9.587
_cell_angle_alpha 90.00
_cell_angle_beta 90.06
_cell_angle_gamma 90.00
_symmetry_space_group_name_H-M 'P 1 21/m 1'
_symmetry_Int_Tables_number 11
loop_
_symmetry_equiv_pos_as_xyz
'x,y,z'
'-x,-y,-z'
'-x,y+1/2,-z'
'x,-y+1/2,z'
loop_
_atom_site_label
_atom_site_type_symbol
_atom_site_fract_x
_atom_site_fract_y
_atom_site_fract_z
_atom_site_occupancy
Li1 Li 0.249 0.250 0.329 1
Sn1 Sn 0.250 0.250 0.013 1
Sn2 Sn 0.250 0.250 0.666 1
Pt1 Pt 0.250 0.750 0.164 1
Pt2 Pt 0.251 0.750 0.500 1
```

Excess energy over the best structure of this formula in the dataset, eV per atom: 0.000
Theoretical density, Mg/m³: 10.8
ΔE_f, eV/atom: -0.57


The following is a GGA-PBE calculation of an optimized crystal structure of Na11In4Hg9, from Alexandria.

```
data_Na11In4Hg9
_cell_length_a 17.095
_cell_length_b 21.689
_cell_length_c 3.406
_cell_angle_alpha 90.00
_cell_angle_beta 90.00
_cell_angle_gamma 90.00
_symmetry_space_group_name_H-M 'C m m m'
_symmetry_Int_Tables_number 65
_symmetry_space_group_name_Hall '-C 2 2'
loop_
_atom_site_label
_atom_site_type_symbol
_atom_site_fract_x
_atom_site_fract_y
_atom_site_fract_z
_atom_site_occupancy
Na1 Na 0.000 0.000 0.000 1
Na2 Na 0.000 0.205 0.000 1
Na3 Na 0.000 0.370 0.000 1
Na4 Na 0.200 0.000 0.000 1
Na5 Na 0.221 0.173 0.000 1
In1 In 0.156 0.428 0.500 1
Hg1 Hg 0.000 0.500 0.500 1
Hg2 Hg 0.093 0.100 0.500 1
Hg3 Hg 0.125 0.284 0.500 1
```

Theoretical density, Mg/m³: 6.6
ΔE_f, eV/atom: -0.19


The following is a GGA-PBE calculation of an optimized crystal structure of CsNa3Np2Se6, from Alexandria.

```
data_CsNa3Np2Se6
_cell_length_a 17.951
_cell_length_b 4.246
_cell_length_c 10.394
_cell_angle_alpha 90.00
_cell_angle_beta 100.99
_cell_angle_gamma 90.00
_symmetry_space_group_name_H-M 'C 1 2/m 1'
_symmetry_Int_Tables_number 12
loop_
_symmetry_equiv_pos_as_xyz
'x,y,z'
'-x,-y,-z'
'-x,y,-z'
'x,-y,z'
'x+1/2,y+1/2,z'
'-x+1/2,-y+1/2,-z'
'-x+1/2,y+1/2,-z'
'x+1/2,-y+1/2,z'
loop_
_atom_site_label
_atom_site_type_symbol
_atom_site_fract_x
_atom_site_fract_y
_atom_site_fract_z
_atom_site_occupancy
Cs1 Cs 0.000 0.000 0.000 1
Na1 Na 0.000 0.000 0.500 1
Na2 Na 0.149 0.500 0.735 1
Np1 Np 0.168 0.500 0.350 1
Se1 Se 0.014 0.500 0.292 1
Se2 Se 0.170 0.000 0.543 1
Se3 Se 0.188 0.000 0.182 1
```

Theoretical density, Mg/m³: 4.9
Formation energy (no corrections), eV per atom: -1.1228


The following is a GGA-PBE calculation of an optimized crystal structure of HfTi2P2, from Alexandria.

```
data_HfTi2P2
_cell_length_a 8.273
_cell_length_b 9.580
_cell_length_c 5.030
_cell_angle_alpha 90.00
_cell_angle_beta 119.80
_cell_angle_gamma 90.00
_symmetry_space_group_name_H-M 'C 1 2/c 1'
_symmetry_Int_Tables_number 15
loop_
_symmetry_equiv_pos_as_xyz
'x,y,z'
'-x,-y,-z'
'-x,y,-z+1/2'
'x,-y,z+1/2'
'x+1/2,y+1/2,z'
'-x+1/2,-y+1/2,-z'
'-x+1/2,y+1/2,-z+1/2'
'x+1/2,-y+1/2,z+1/2'
loop_
_atom_site_label
_atom_site_type_symbol
_atom_site_fract_x
_atom_site_fract_y
_atom_site_fract_z
_atom_site_occupancy
Hf1 Hf 0.000 0.110 0.250 1
Ti1 Ti 0.180 0.399 0.991 1
P1 P 0.000 0.180 0.750 1
P2 P 0.000 0.384 0.250 1
```

Excess energy over the best structure of this formula in the dataset, eV per atom: 0.259
Theoretical density, Mg/m³: 6.5
ΔE_f, eV/atom: -0.83


The following is a GGA-PBE calculation of an optimized crystal structure of BaAcAsPt, from Alexandria.

```
data_BaAcAsPt
_cell_length_a 7.754
_cell_length_b 7.754
_cell_length_c 7.754
_cell_angle_alpha 90.00
_cell_angle_beta 90.00
_cell_angle_gamma 90.00
_symmetry_space_group_name_H-M 'F -4 3 m'
_symmetry_Int_Tables_number 216
_symmetry_space_group_name_Hall 'F -4 2 3'
loop_
_atom_site_label
_atom_site_type_symbol
_atom_site_fract_x
_atom_site_fract_y
_atom_site_fract_z
_atom_site_occupancy
Ba1 Ba 0.000 0.000 0.000 1
Ac1 Ac 0.000 0.000 0.500 1
As1 As 0.250 0.250 0.250 1
Pt1 Pt 0.250 0.250 0.750 1
```

Theoretical density, Mg/m³: 9.0
ΔE_f, eV/atom: -0.96


The following is a GGA-PBE calculation of an optimized crystal structure of Ti6BC3, from Alexandria.

```
data_Ti6BC3
_cell_length_a 9.149
_cell_length_b 3.106
_cell_length_c 9.305
_cell_angle_alpha 90.00
_cell_angle_beta 113.92
_cell_angle_gamma 90.00
_symmetry_space_group_name_H-M 'P 1 21/m 1'
_symmetry_Int_Tables_number 11
loop_
_symmetry_equiv_pos_as_xyz
'x,y,z'
'-x,-y,-z'
'-x,y+1/2,-z'
'x,-y+1/2,z'
loop_
_atom_site_label
_atom_site_type_symbol
_atom_site_fract_x
_atom_site_fract_y
_atom_site_fract_z
_atom_site_occupancy
Ti1 Ti 0.046 0.250 0.402 1
Ti2 Ti 0.100 0.750 0.933 1
Ti3 Ti 0.238 0.750 0.277 1
Ti4 Ti 0.246 0.250 0.770 1
Ti5 Ti 0.416 0.250 0.572 1
Ti6 Ti 0.444 0.250 0.111 1
B1 B 0.217 0.750 0.567 1
C1 C 0.016 0.250 0.772 1
C2 C 0.338 0.750 0.946 1
C3 C 0.408 0.250 0.338 1
```

Theoretical density, Mg/m³: 4.6
ΔE_f, eV/atom: -0.64


The following is a GGA-PBE calculation of an optimized crystal structure of La4Zn2C, from Alexandria.

```
data_La4Zn2C
_cell_length_a 5.038
_cell_length_b 5.038
_cell_length_c 16.411
_cell_angle_alpha 90.00
_cell_angle_beta 90.00
_cell_angle_gamma 90.00
_symmetry_space_group_name_H-M 'I 4/m m m'
_symmetry_Int_Tables_number 139
_symmetry_space_group_name_Hall '-I 4 2'
loop_
_atom_site_label
_atom_site_type_symbol
_atom_site_fract_x
_atom_site_fract_y
_atom_site_fract_z
_atom_site_occupancy
La1 La 0.000 0.000 0.194 1
La2 La 0.000 0.500 0.000 1
Zn1 Zn 0.000 0.000 0.374 1
C1 C 0.000 0.000 0.500 1
```

Theoretical density, Mg/m³: 5.6
ΔE_f, eV/atom: 0.06


The following is a GGA-PBE calculation of an optimized crystal structure of CeCo2, from Alexandria.

```
data_CeCo2
_cell_length_a 3.522
_cell_length_b 3.522
_cell_length_c 7.833
_cell_angle_alpha 90.00
_cell_angle_beta 90.00
_cell_angle_gamma 90.00
_symmetry_space_group_name_H-M 'I 4/m m m'
_symmetry_Int_Tables_number 139
_symmetry_space_group_name_Hall '-I 4 2'
loop_
_atom_site_label
_atom_site_type_symbol
_atom_site_fract_x
_atom_site_fract_y
_atom_site_fract_z
_atom_site_occupancy
Ce1 Ce 0.000 0.000 0.000 1
Co1 Co 0.000 0.000 0.290 1
```

Theoretical density, Mg/m³: 8.8
ΔE_f, eV/atom: 0.06


The following is a GGA-PBE calculation of an optimized crystal structure of MgTaH, from Alexandria.

```
data_MgTaH
_cell_length_a 2.971
_cell_length_b 4.809
_cell_length_c 5.911
_cell_angle_alpha 89.25
_cell_angle_beta 80.02
_cell_angle_gamma 88.90
_symmetry_space_group_name_H-M 'P 1'
_symmetry_Int_Tables_number 1
loop_
_symmetry_equiv_pos_as_xyz
'x,y,z'
loop_
_atom_site_label
_atom_site_type_symbol
_atom_site_fract_x
_atom_site_fract_y
_atom_site_fract_z
_atom_site_occupancy
Mg1 Mg 0.000 0.000 0.000 1
Mg2 Mg 0.204 0.507 0.274 1
Ta1 Ta 0.472 0.983 0.510 1
Ta2 Ta 0.678 0.504 0.743 1
H1 H 0.112 0.533 0.952 1
H2 H 0.944 0.230 0.530 1
```

Excess energy over the best structure of this formula in the dataset, eV per atom: 0.120
Theoretical density, Mg/m³: 8.2


The following is a GGA-PBE calculation of an optimized crystal structure of TmPu2PaBi5, from Alexandria.

```
data_TmPu2PaBi5
_cell_length_a 5.679
_cell_length_b 5.679
_cell_length_c 11.730
_cell_angle_alpha 90.00
_cell_angle_beta 90.00
_cell_angle_gamma 90.00
_symmetry_space_group_name_H-M 'P 4/m m m'
_symmetry_Int_Tables_number 123
_symmetry_space_group_name_Hall '-P 4 2'
loop_
_atom_site_label
_atom_site_type_symbol
_atom_site_fract_x
_atom_site_fract_y
_atom_site_fract_z
_atom_site_occupancy
Tm1 Tm 0.000 0.000 0.000 1
Pu1 Pu 0.500 0.500 0.288 1
Pa1 Pa 0.000 0.000 0.500 1
Bi1 Bi 0.000 0.000 0.246 1
Bi2 Bi 0.000 0.500 0.500 1
Bi3 Bi 0.500 0.500 0.000 1
```

Theoretical density, Mg/m³: 8.5
ΔE_f, eV/atom: 0.26